Record 1
Compound: Zr4TcIr
Source: Alexandria via LeMat-Bulk
Functional: GGA-PBE
Structure: optimized geometry

The spin magnetization is 1.6 μB/f.u. Its uncorrected energy is -200.446 eV per cell. The theoretical density comes out at 9.14 g/cm3.

The structure belongs to space group F-43m (No. 216); the cell edges are 7.809, 7.809 and 7.809 Å and the angles 90.00°, 90.00° and 90.00°. The inequivalent atoms are Zr at (0.125, 0.125, 0.125), Tc at (0.000, 0.000, 0.500) and Ir at (0.250, 0.250, 0.750).



Record 2
Compound: Te5Ir3
Source: Alexandria via LeMat-Bulk
Functional: GGA-PBE
Structure: optimized geometry

The spin magnetization is 0.0 μB/f.u. For the formation energy without anion corrections, the calculation gives 0.3866 eV per atom. The theoretical density comes out at 11.42 g/cm3.

The structure belongs to space group P6_3/mcm (No. 193); the cell edges are 8.2399, 8.2399 and 6.0084 Å and the angles 90.00°, 90.00° and 120.00°. The inequivalent atoms are Te at (0.0000, 0.2843, 0.2500), Te at (0.3333, 0.6667, 0.0000) and Ir at (0.0000, 0.3596, 0.7500).



Record 3
Compound: TeIr3
Source: Alexandria via LeMat-Bulk
Functional: GGA-PBE
Structure: optimized geometry

The spin magnetization is 0.0 μB/f.u. For the formation energy without anion corrections, the calculation gives 0.4332 eV per atom. The theoretical density comes out at 17.62 g/cm3.

The structure belongs to space group Imm2 (No. 44); the cell edges are 2.981, 9.258 and 4.808 Å and the angles 90.00°, 90.00° and 90.00°. The inequivalent atoms are Te at (0.000, 0.000, 0.000), Ir at (0.000, 0.230, 0.312) and Ir at (0.000, 0.500, 0.043).



Record 4
Compound: Te3Ir4
Source: Alexandria via LeMat-Bulk
Functional: GGA-PBE
Structure: optimized geometry

The spin magnetization is 0.0 μB/f.u. For the formation energy without anion corrections, the calculation gives 0.3581 eV per atom. The theoretical density comes out at 13.03 g/cm3.

The structure belongs to space group I4/mmm (No. 139); the cell edges are 3.559, 3.559 and 23.177 Å and the angles 90.00°, 90.00° and 90.00°. The inequivalent atoms are Te at (0.000, 0.000, 0.000), Te at (0.000, 0.000, 0.329), Ir at (0.000, 0.000, 0.122) and Ir at (0.000, 0.000, 0.441).



Record 5
Compound: Te7Ir6
Source: Alexandria via LeMat-Bulk
Functional: GGA-PBE
Structure: optimized geometry

The spin magnetization is 0.0 μB/f.u. For the formation energy without anion corrections, the calculation gives 0.9316 eV per atom. The theoretical density comes out at 10.41 g/cm3.

The structure belongs to space group R-3m (No. 166, hexagonal axes); the cell edges are 7.2049, 7.2049 and 21.7883 Å and the angles 90.00°, 90.00° and 120.00°. The inequivalent atoms are Te at (0.0000, 0.0000, 0.0000), Te at (0.0223, 0.5112, 0.4225), Ir at (0.0000, 0.0000, 0.1631), Ir at (0.0000, 0.0000, 0.3296) and Ir at (0.0000, 0.0000, 0.4436).



Record 6
Compound: Te2Ir
Source: Alexandria via LeMat-Bulk
Functional: GGA-PBE
Structure: optimized geometry

The spin magnetization is 0.0 μB/f.u. For the formation energy without anion corrections, the calculation gives -0.0349 eV per atom. The theoretical density comes out at 9.41 g/cm3.

The structure belongs to space group R3m (No. 160, hexagonal axes); the cell edges are 3.8328, 3.8328 and 18.6090 Å and the angles 90.00°, 90.00° and 120.00°. The inequivalent atoms are Te at (0.0000, 0.0000, 0.0000), Te at (0.0000, 0.0000, 0.1659) and Ir at (0.0000, 0.0000, 0.4170).



What did the second record say?
Compound: Te5Ir3
Source: Alexandria via LeMat-Bulk
Functional: GGA-PBE
Structure: optimized geometry

The spin magnetization is 0.0 μB/f.u. For the formation energy without anion corrections, the calculation gives 0.3866 eV per atom. The theoretical density comes out at 11.42 g/cm3.

The structure belongs to space group P6_3/mcm (No. 193); the cell edges are 8.2399, 8.2399 and 6.0084 Å and the angles 90.00°, 90.00° and 120.00°. The inequivalent atoms are Te at (0.0000, 0.2843, 0.2500), Te at (0.3333, 0.6667, 0.0000) and Ir at (0.0000, 0.3596, 0.7500).